# GGA-PBE Mn2Ir2Pd, optimized geometry
# SG = P4/mbm (127)
# V = 145.8 Å³ per cell
# formation enthalpy at 0 K = 24 meV/atom
data_Mn2Ir2Pd
_symmetry_space_group_name_H-M 'P 1'
_symmetry_Int_Tables_number 1
_cell_length_a 7.247
_cell_length_b 7.247
_cell_length_c 2.777
_cell_angle_alpha 90.00
_cell_angle_beta 90.00
_cell_angle_gamma 90.00
loop_
_symmetry_equiv_pos_as_xyz
'x,y,z'
loop_
_atom_site_label
_atom_site_fract_x
_atom_site_fract_y
_atom_site_fract_z
_atom_site_occupancy
Mn1 0.164 0.336 0.000 1
Mn2 0.336 0.836 0.000 1
Mn3 0.664 0.164 0.000 1
Mn4 0.836 0.664 0.000 1
Ir1 0.132 0.632 0.500 1
Ir2 0.368 0.132 0.500 1
Ir3 0.632 0.868 0.500 1
Ir4 0.868 0.368 0.500 1
Pd1 0.000 0.000 0.500 1
Pd2 0.500 0.500 0.500 1

---

# GGA-PBE MnSbIrPd, optimized geometry
# SG = F-43m (216)
# V = 65.5 Å³ per cell
# raw formation energy = -0.14 eV/atom
data_MnSbIrPd
_symmetry_space_group_name_H-M 'P 1'
_symmetry_Int_Tables_number 1
_cell_length_a 4.525
_cell_length_b 4.525
_cell_length_c 4.525
_cell_angle_alpha 60.00
_cell_angle_beta 60.00
_cell_angle_gamma 60.00
loop_
_symmetry_equiv_pos_as_xyz
'x,y,z'
loop_
_atom_site_label
_atom_site_fract_x
_atom_site_fract_y
_atom_site_fract_z
_atom_site_occupancy
Mn1 0.000 0.000 0.000 1
Sb1 0.500 0.500 0.500 1
Ir1 0.250 0.250 0.250 1
Pd1 0.750 0.750 0.750 1

---

# GGA-PBE MnSnIr2Pd, optimized geometry
# SG = P4/mmm (123)
# V = 96.0 Å³ per cell
# formation enthalpy at 0 K = 958 meV/atom
data_MnSnIr2Pd
_symmetry_space_group_name_H-M 'P 1'
_symmetry_Int_Tables_number 1
_cell_length_a 4.475
_cell_length_b 4.475
_cell_length_c 4.794
_cell_angle_alpha 90.00
_cell_angle_beta 90.00
_cell_angle_gamma 90.00
loop_
_symmetry_equiv_pos_as_xyz
'x,y,z'
loop_
_atom_site_label
_atom_site_fract_x
_atom_site_fract_y
_atom_site_fract_z
_atom_site_occupancy
Mn1 0.000 0.000 0.000 1
Sn1 0.000 0.000 0.500 1
Ir1 0.000 0.500 0.000 1
Ir2 0.500 0.000 0.000 1
Pd1 0.500 0.500 0.500 1

---

# GGA-PBE TbMnIrPd, optimized geometry
# SG = F-43m (216)
# V = 71.8 Å³ per cell
# formation enthalpy at 0 K = -433 meV/atom
data_TbMnIrPd
_symmetry_space_group_name_H-M 'P 1'
_symmetry_Int_Tables_number 1
_cell_length_a 4.666
_cell_length_b 4.666
_cell_length_c 4.666
_cell_angle_alpha 60.00
_cell_angle_beta 60.00
_cell_angle_gamma 60.00
loop_
_symmetry_equiv_pos_as_xyz
'x,y,z'
loop_
_atom_site_label
_atom_site_fract_x
_atom_site_fract_y
_atom_site_fract_z
_atom_site_occupancy
Tb1 0.000 0.000 0.000 1
Mn1 0.500 0.500 0.500 1
Ir1 0.250 0.250 0.250 1
Pd1 0.750 0.750 0.750 1

---

# GGA-PBE Mn2TcIrPd, optimized geometry
# SG = P4/mmm (123)
# V = 105.9 Å³ per cell
# formation enthalpy at 0 K = 1521 meV/atom
data_Mn2TcIrPd
_symmetry_space_group_name_H-M 'P 1'
_symmetry_Int_Tables_number 1
_cell_length_a 4.631
_cell_length_b 4.631
_cell_length_c 4.938
_cell_angle_alpha 90.00
_cell_angle_beta 90.00
_cell_angle_gamma 90.00
loop_
_symmetry_equiv_pos_as_xyz
'x,y,z'
loop_
_atom_site_label
_atom_site_fract_x
_atom_site_fract_y
_atom_site_fract_z
_atom_site_occupancy
Mn1 0.000 0.500 0.000 1
Mn2 0.500 0.000 0.000 1
Tc1 0.000 0.000 0.500 1
Ir1 0.500 0.500 0.000 1
Pd1 0.500 0.500 0.500 1

---

# GGA-PBE YMnIr2Pd, optimized geometry
# SG = P4/mmm (123)
# V = 97.8 Å³ per cell
# formation enthalpy at 0 K = 563 meV/atom
data_YMnIr2Pd
_symmetry_space_group_name_H-M 'P 1'
_symmetry_Int_Tables_number 1
_cell_length_a 4.433
_cell_length_b 4.433
_cell_length_c 4.974
_cell_angle_alpha 90.00
_cell_angle_beta 90.00
_cell_angle_gamma 90.00
loop_
_symmetry_equiv_pos_as_xyz
'x,y,z'
loop_
_atom_site_label
_atom_site_fract_x
_atom_site_fract_y
_atom_site_fract_z
_atom_site_occupancy
Y1 0.000 0.000 0.000 1
Mn1 0.000 0.000 0.500 1
Ir1 0.000 0.500 0.500 1
Ir2 0.500 0.000 0.500 1
Pd1 0.500 0.500 0.000 1

---

# GGA-PBE Pm2MnIr, optimized geometry
# SG = P4/mmm (123)
# V = 90.1 Å³ per cell
# formation enthalpy at 0 K = -176 meV/atom
data_Pm2MnIr
_symmetry_space_group_name_H-M 'P 1'
_symmetry_Int_Tables_number 1
_cell_length_a 4.979
_cell_length_b 4.979
_cell_length_c 3.635
_cell_angle_alpha 90.00
_cell_angle_beta 90.00
_cell_angle_gamma 90.00
loop_
_symmetry_equiv_pos_as_xyz
'x,y,z'
loop_
_atom_site_label
_atom_site_fract_x
_atom_site_fract_y
_atom_site_fract_z
_atom_site_occupancy
Pm1 0.000 0.500 0.000 1
Pm2 0.500 0.000 0.000 1
Mn1 0.000 0.000 0.500 1
Ir1 0.500 0.500 0.500 1

---

# GGA-PBE Pm2MnIr3, optimized geometry
# SG = P6_3/mmc (194)
# V = 223.1 Å³ per cell
# formation enthalpy at 0 K = -602 meV/atom
data_Pm2MnIr3
_symmetry_space_group_name_H-M 'P 1'
_symmetry_Int_Tables_number 1
_cell_length_a 5.542
_cell_length_b 5.542
_cell_length_c 8.389
_cell_angle_alpha 90.00
_cell_angle_beta 90.00
_cell_angle_gamma 120.00
loop_
_symmetry_equiv_pos_as_xyz
'x,y,z'
loop_
_atom_site_label
_atom_site_fract_x
_atom_site_fract_y
_atom_site_fract_z
_atom_site_occupancy
Pm1 0.333 0.667 0.065 1
Pm2 0.333 0.667 0.435 1
Pm3 0.667 0.333 0.565 1
Pm4 0.667 0.333 0.935 1
Mn1 0.000 0.000 0.000 1
Mn2 0.000 0.000 0.500 1
Ir1 0.168 0.336 0.750 1
Ir2 0.168 0.832 0.750 1
Ir3 0.336 0.168 0.250 1
Ir4 0.664 0.832 0.750 1
Ir5 0.832 0.168 0.250 1
Ir6 0.832 0.664 0.250 1